Below is a geometry-optimized KCrSe2 structure, with properties calculated at the PBE level.

```
data_KCrSe2
_symmetry_space_group_name_H-M 'C m c m'
_symmetry_Int_Tables_number 63
_symmetry_space_group_name_Hall '-C 2c 2'
_cell_length_a 4.818
_cell_length_b 22.114
_cell_length_c 4.827
_cell_angle_alpha 90.00
_cell_angle_beta 90.00
_cell_angle_gamma 90.00
loop_
_atom_site_label
_atom_site_fract_x
_atom_site_fract_y
_atom_site_fract_z
K1 0.000 0.172 0.250
Cr1 0.000 0.431 0.250
Se1 0.000 0.326 0.250
Se2 0.000 0.455 0.750
```

Properties
- Calculated density: 3.22 g/cm3
- Size of the total moment: 3.00 μB/f.u.
- Uncorrected formation energy: -0.559 eV/atom

***

Below is a geometry-optimized NbAlHg3 structure, with properties calculated at the PBE level.

```
data_NbAlHg3
_symmetry_space_group_name_H-M 'P m -3 m'
_symmetry_Int_Tables_number 221
_symmetry_space_group_name_Hall '-P 4 2 3'
_cell_length_a 5.445
_cell_length_b 5.445
_cell_length_c 5.445
_cell_angle_alpha 90.00
_cell_angle_beta 90.00
_cell_angle_gamma 90.00
loop_
_atom_site_label
_atom_site_fract_x
_atom_site_fract_y
_atom_site_fract_z
Nb1 0.000 0.000 0.000
Al1 0.500 0.500 0.500
Hg1 0.000 0.000 0.500
```

Properties
- Energy relative to the lowest polymorph listed for this composition: 0.00 kJ/mol of atoms
- Calculated density: 7.42 g/cm3
- Formation energy from the elements: 4.746 eV/f.u.
- Size of the total moment: 1.79 μB/f.u.

***

Below is a geometry-optimized Zn2RuRh structure, with properties calculated at the PBE level.

```
data_Zn2RuRh
_symmetry_space_group_name_H-M 'I -4 2 d'
_symmetry_Int_Tables_number 122
_symmetry_space_group_name_Hall 'I -4 2bw'
_cell_length_a 6.826
_cell_length_b 6.826
_cell_length_c 5.292
_cell_angle_alpha 90.00
_cell_angle_beta 90.00
_cell_angle_gamma 90.00
loop_
_atom_site_label
_atom_site_fract_x
_atom_site_fract_y
_atom_site_fract_z
Zn1 0.247 0.250 0.125
Ru1 0.000 0.000 0.500
Rh1 0.000 0.000 0.000
```

Properties
- Calculated density: 9.02 g/cm3
- Formation energy from the elements: 1.367 eV/f.u.
- Size of the total moment: 1.55 μB/f.u.

***

Below is a geometry-optimized ZrPb2W structure, with properties calculated at the PBE level.

```
data_ZrPb2W
_symmetry_space_group_name_H-M 'I -4 2 d'
_symmetry_Int_Tables_number 122
_symmetry_space_group_name_Hall 'I -4 2bw'
_cell_length_a 4.277
_cell_length_b 4.277
_cell_length_c 21.178
_cell_angle_alpha 90.00
_cell_angle_beta 90.00
_cell_angle_gamma 90.00
loop_
_atom_site_label
_atom_site_fract_x
_atom_site_fract_y
_atom_site_fract_z
Zr1 0.000 0.000 0.000
Pb1 0.246 0.250 0.625
W1 0.000 0.000 0.500
```

Properties
- Energy relative to the lowest polymorph listed for this composition: 44.80 kJ/mol of atoms
- Calculated density: 11.82 g/cm3
- Formation energy from the elements: 3.247 eV/f.u.
- Size of the total moment: 0.00 μB/f.u.

***

Below is a geometry-optimized TbNbAl2 structure, with properties calculated at the PBE level.

```
data_TbNbAl2
_symmetry_space_group_name_H-M 'R -3 m'
_symmetry_Int_Tables_number 166
_symmetry_space_group_name_Hall '-R 3 2"'
_cell_length_a 3.0778
_cell_length_b 3.0778
_cell_length_c 29.7654
_cell_angle_alpha 90.00
_cell_angle_beta 90.00
_cell_angle_gamma 120.00
loop_
_atom_site_label
_atom_site_fract_x
_atom_site_fract_y
_atom_site_fract_z
Tb1 0.0000 0.0000 0.0000
Nb1 0.0000 0.0000 0.5000
Al1 0.0000 0.0000 0.2420
```

Properties
- Energy relative to the lowest polymorph listed for this composition: 23.41 kJ/mol of atoms
- Calculated density: 6.24 g/cm3
- Formation energy from the elements: -0.051 eV/f.u.
- Size of the total moment: 0.00 μB/f.u.

***

Below is a geometry-optimized Sr4Ca3 structure, with properties calculated at the PBE level.

```
data_Sr4Ca3
_symmetry_space_group_name_H-M 'I m m m'
_symmetry_Int_Tables_number 71
_symmetry_space_group_name_Hall '-I 2 2'
_cell_length_a 4.134
_cell_length_b 5.744
_cell_length_c 28.891
_cell_angle_alpha 90.00
_cell_angle_beta 90.00
_cell_angle_gamma 90.00
loop_
_atom_site_label
_atom_site_fract_x
_atom_site_fract_y
_atom_site_fract_z
Sr1 0.000 0.000 0.071
Sr2 0.000 0.000 0.212
Ca1 0.000 0.000 0.359
Ca2 0.000 0.000 0.500
```

Properties
- Calculated density: 2.28 g/cm3
- Formation energy from the elements: 0.115 eV/f.u.
- Size of the total moment: 0.00 μB/f.u.

***

Below is a geometry-optimized Ba2Mg3Zn6 structure, with properties calculated at the PBE level.

```
data_Ba2Mg3Zn6
_symmetry_space_group_name_H-M 'C m m m'
_symmetry_Int_Tables_number 65
_symmetry_space_group_name_Hall '-C 2 2'
_cell_length_a 10.130
_cell_length_b 12.348
_cell_length_c 4.527
_cell_angle_alpha 90.00
_cell_angle_beta 90.00
_cell_angle_gamma 90.00
loop_
_atom_site_label
_atom_site_fract_x
_atom_site_fract_y
_atom_site_fract_z
Ba1 0.000 0.214 0.000
Mg1 0.000 0.500 0.500
Mg2 0.206 0.500 0.000
Zn1 0.122 0.000 0.500
Zn2 0.214 0.347 0.500
```

Properties
- Calculated density: 4.34 g/cm3
- Formation energy from the elements: -1.514 eV/f.u.
- Size of the total moment: 0.00 μB/f.u.

***

Below is a geometry-optimized In3Sn2 structure, with properties calculated at the PBE level.

```
data_In3Sn2
_symmetry_space_group_name_H-M 'I m m m'
_symmetry_Int_Tables_number 71
_symmetry_space_group_name_Hall '-I 2 2'
_cell_length_a 3.340
_cell_length_b 4.929
_cell_length_c 16.701
_cell_angle_alpha 90.00
_cell_angle_beta 90.00
_cell_angle_gamma 90.00
loop_
_atom_site_label
_atom_site_fract_x
_atom_site_fract_y
_atom_site_fract_z
In1 0.000 0.000 0.000
In2 0.000 0.000 0.198
Sn1 0.000 0.000 0.400
```

Properties
- Calculated density: 7.03 g/cm3
- Formation energy from the elements: 0.146 eV/f.u.
- Size of the total moment: 0.00 μB/f.u.

***

Below is a geometry-optimized Li2SnO6 structure, with properties calculated at the PBE level.

```
data_Li2SnO6
_symmetry_space_group_name_H-M 'P 1 21/c 1'
_symmetry_Int_Tables_number 14
_cell_length_a 3.762
_cell_length_b 5.686
_cell_length_c 10.431
_cell_angle_alpha 90.00
_cell_angle_beta 111.03
_cell_angle_gamma 90.00
loop_
_symmetry_equiv_pos_as_xyz
'x,y,z'
'-x,-y,-z'
'-x,y+1/2,-z+1/2'
'x,-y+1/2,z+1/2'
loop_
_atom_site_label
_atom_site_fract_x
_atom_site_fract_y
_atom_site_fract_z
Li1 0.159 0.000 0.164
Sn1 0.500 0.000 0.500
O1 0.030 0.150 0.343
O2 0.184 0.701 0.501
O3 0.343 0.153 0.656
```

Properties
- Calculated density: 3.65 g/cm3
- Size of the total moment: 6.07 μB/f.u.
- Uncorrected formation energy: -0.517 eV/atom

***

Below is a geometry-optimized CaLaIr2 structure, with properties calculated at the PBE level.

```
data_CaLaIr2
_symmetry_space_group_name_H-M 'I -4 m 2'
_symmetry_Int_Tables_number 119
_symmetry_space_group_name_Hall 'I -4 -2'
_cell_length_a 4.180
_cell_length_b 4.180
_cell_length_c 9.741
_cell_angle_alpha 90.00
_cell_angle_beta 90.00
_cell_angle_gamma 90.00
loop_
_atom_site_label
_atom_site_fract_x
_atom_site_fract_y
_atom_site_fract_z
Ca1 0.000 0.000 0.000
La1 0.000 0.500 0.250
Ir1 0.000 0.000 0.500
Ir2 0.000 0.500 0.750
```

Properties
- Energy relative to the lowest polymorph listed for this composition: 19.60 kJ/mol of atoms
- Calculated density: 10.99 g/cm3
- Formation energy from the elements: -0.702 eV/f.u.
- Size of the total moment: 0.00 μB/f.u.

***

Below is a geometry-optimized Tl3Cd2 structure, with properties calculated at the PBE level.

```
data_Tl3Cd2
_symmetry_space_group_name_H-M 'P -3 m 1'
_symmetry_Int_Tables_number 164
_symmetry_space_group_name_Hall '-P 3 2"'
_cell_length_a 5.0031
_cell_length_b 5.0031
_cell_length_c 7.0341
_cell_angle_alpha 90.00
_cell_angle_beta 90.00
_cell_angle_gamma 120.00
loop_
_atom_site_label
_atom_site_fract_x
_atom_site_fract_y
_atom_site_fract_z
Tl1 0.0000 0.0000 0.0000
Tl2 0.3333 0.6667 0.3568
Cd1 0.3333 0.6667 0.8277
```

Properties
- Energy relative to the lowest polymorph listed for this composition: 3.88 kJ/mol of atoms
- Calculated density: 9.13 g/cm3
- Formation energy from the elements: 0.375 eV/f.u.
- Size of the total moment: 0.00 μB/f.u.

***

Below is a geometry-optimized BeSO3 structure, with properties calculated at the PBE level.

```
data_BeSO3
_symmetry_space_group_name_H-M 'P m -3 m'
_symmetry_Int_Tables_number 221
_symmetry_space_group_name_Hall '-P 4 2 3'
_cell_length_a 3.423
_cell_length_b 3.423
_cell_length_c 3.423
_cell_angle_alpha 90.00
_cell_angle_beta 90.00
_cell_angle_gamma 90.00
loop_
_atom_site_label
_atom_site_fract_x
_atom_site_fract_y
_atom_site_fract_z
Be1 0.000 0.000 0.000
S1 0.500 0.500 0.500
O1 0.000 0.000 0.500
```

Properties
- Calculated density: 3.69 g/cm3
- Size of the total moment: 0.00 μB/f.u.
- Uncorrected formation energy: -0.060 eV/atom

***

Please write out number 8 again, unchanged.
Below is a geometry-optimized In3Sn2 structure, with properties calculated at the PBE level.

```
data_In3Sn2
_symmetry_space_group_name_H-M 'I m m m'
_symmetry_Int_Tables_number 71
_symmetry_space_group_name_Hall '-I 2 2'
_cell_length_a 3.340
_cell_length_b 4.929
_cell_length_c 16.701
_cell_angle_alpha 90.00
_cell_angle_beta 90.00
_cell_angle_gamma 90.00
loop_
_atom_site_label
_atom_site_fract_x
_atom_site_fract_y
_atom_site_fract_z
In1 0.000 0.000 0.000
In2 0.000 0.000 0.198
Sn1 0.000 0.000 0.400
```

Properties
- Calculated density: 7.03 g/cm3
- Formation energy from the elements: 0.146 eV/f.u.
- Size of the total moment: 0.00 μB/f.u.